Record 1
Material: BaIrRu2
Method: DFT, GGA-PBE
State: relaxed

Summary:
Energy in eV for the cell shown: -51.703
ΔE to the lowest computed polymorph in eV/atom: 0.6146

The structure in CIF format:
```
data_BaIrRu2
_space_group_name_H-M_alt 'I m m 2'
_space_group_IT_number 44
_space_group_name_Hall 'I 2 -2'
_cell_length_a 2.9360
_cell_length_b 5.0938
_cell_length_c 10.2353
_cell_angle_alpha 90.00
_cell_angle_beta 90.00
_cell_angle_gamma 90.00
loop_
_atom_site_label
_atom_site_fract_x
_atom_site_fract_y
_atom_site_fract_z
Ba1 0.0000 0.0000 0.0000
Ir1 0.0000 0.5000 0.7828
Ru1 0.0000 0.0000 0.5051
Ru2 0.0000 0.5000 0.2170
```

Record 2
Material: BaIrRu2
Method: DFT, GGA-PBE
State: relaxed

Summary:
Energy in eV for the cell shown: -26.270
ΔE to the lowest computed polymorph in eV/atom: 0.5100

The structure in CIF format:
```
data_BaIrRu2
_space_group_name_H-M_alt 'P 1 2/m 1'
_space_group_IT_number 10
_space_group_name_Hall '-P 2y'
_cell_length_a 3.0041
_cell_length_b 4.4748
_cell_length_c 6.3481
_cell_angle_alpha 90.00
_cell_angle_beta 100.35
_cell_angle_gamma 90.00
loop_
_atom_site_label
_atom_site_fract_x
_atom_site_fract_y
_atom_site_fract_z
Ba1 0.0000 0.0000 0.0000
Ir1 0.5000 0.0000 0.5000
Ru1 0.2886 0.5000 0.6616
```

Record 3
Material: BaIrRu2
Method: DFT, GGA-PBE
State: relaxed

Summary:
Energy in eV for the cell shown: -77.168
ΔE to the lowest computed polymorph in eV/atom: 0.6467

The structure in CIF format:
```
data_BaIrRu2
_space_group_name_H-M_alt 'R 3 m'
_space_group_IT_number 160
_space_group_name_Hall 'R 3 -2"'
_cell_length_a 2.9359
_cell_length_b 2.9359
_cell_length_c 29.8845
_cell_angle_alpha 90.00
_cell_angle_beta 90.00
_cell_angle_gamma 120.00
loop_
_atom_site_label
_atom_site_fract_x
_atom_site_fract_y
_atom_site_fract_z
Ba1 0.0000 0.0000 0.0000
Ir1 0.0000 0.0000 0.2364
Ru1 0.0000 0.0000 0.4994
Ru2 0.0000 0.0000 0.7661
```

Record 4
Material: BaIr2Ru
Method: DFT, GGA-PBE
State: relaxed

Summary:
Energy in eV for the cell shown: -26.911
ΔE to the lowest computed polymorph in eV/atom: 0.3957

The structure in CIF format:
```
data_BaIr2Ru
_space_group_name_H-M_alt 'P m m 2'
_space_group_IT_number 25
_space_group_name_Hall 'P 2 -2'
_cell_length_a 2.8841
_cell_length_b 3.6989
_cell_length_c 7.5450
_cell_angle_alpha 90.00
_cell_angle_beta 90.00
_cell_angle_gamma 90.00
loop_
_atom_site_label
_atom_site_fract_x
_atom_site_fract_y
_atom_site_fract_z
Ba1 0.0000 0.0000 0.0000
Ir1 0.0000 0.0000 0.4994
Ir2 0.5000 0.5000 0.3152
Ru1 0.5000 0.5000 0.6619
```

Record 5
Material: BaIrRu2
Method: DFT, GGA-PBE
State: relaxed

Summary:
Energy in eV for the cell shown: -106.210
ΔE to the lowest computed polymorph in eV/atom: 0.4393

The structure in CIF format:
```
data_BaIrRu2
_space_group_name_H-M_alt 'I -4 2 d'
_space_group_IT_number 122
_space_group_name_Hall 'I -4 2bw'
_cell_length_a 4.9919
_cell_length_b 4.9919
_cell_length_c 17.0625
_cell_angle_alpha 90.00
_cell_angle_beta 90.00
_cell_angle_gamma 90.00
loop_
_atom_site_label
_atom_site_fract_x
_atom_site_fract_y
_atom_site_fract_z
Ba1 0.0000 0.0000 0.0000
Ir1 0.0000 0.0000 0.5000
Ru1 0.0014 0.2500 0.6250
```

Record 6
Material: BaIr2Ru
Method: DFT, GGA-PBE
State: relaxed

Summary:
Energy in eV for the cell shown: -85.481
ΔE to the lowest computed polymorph in eV/atom: 0.0000

The structure in CIF format:
```
data_BaIr2Ru
_space_group_name_H-M_alt 'R -3 m'
_space_group_IT_number 166
_space_group_name_Hall '-R 3 2"'
_cell_length_a 4.4583
_cell_length_b 4.4583
_cell_length_c 17.2545
_cell_angle_alpha 90.00
_cell_angle_beta 90.00
_cell_angle_gamma 120.00
loop_
_atom_site_label
_atom_site_fract_x
_atom_site_fract_y
_atom_site_fract_z
Ba1 0.0000 0.0000 0.0000
Ir1 0.0000 0.0000 0.1820
Ru1 0.0000 0.0000 0.5000
```

Record 7
Material: BaIr2Ru
Method: DFT, GGA-PBE
State: relaxed

Summary:
Energy in eV for the cell shown: -51.865
ΔE to the lowest computed polymorph in eV/atom: 0.6403

The structure in CIF format:
```
data_BaIr2Ru
_space_group_name_H-M_alt 'I m m 2'
_space_group_IT_number 44
_space_group_name_Hall 'I 2 -2'
_cell_length_a 2.9158
_cell_length_b 5.2120
_cell_length_c 10.3119
_cell_angle_alpha 90.00
_cell_angle_beta 90.00
_cell_angle_gamma 90.00
loop_
_atom_site_label
_atom_site_fract_x
_atom_site_fract_y
_atom_site_fract_z
Ba1 0.0000 0.0000 0.0000
Ir1 0.0000 0.0000 0.4969
Ir2 0.0000 0.5000 0.2170
Ru1 0.0000 0.5000 0.7840
```

Record 8
Material: BaIr2Ru
Method: DFT, GGA-PBE
State: relaxed

Summary:
Energy in eV for the cell shown: -51.523
ΔE to the lowest computed polymorph in eV/atom: 0.6831

The structure in CIF format:
```
data_BaIr2Ru
_space_group_name_H-M_alt 'I m m m'
_space_group_IT_number 71
_space_group_name_Hall '-I 2 2'
_cell_length_a 2.9214
_cell_length_b 5.0065
_cell_length_c 10.4273
_cell_angle_alpha 90.00
_cell_angle_beta 90.00
_cell_angle_gamma 90.00
loop_
_atom_site_label
_atom_site_fract_x
_atom_site_fract_y
_atom_site_fract_z
Ba1 0.0000 0.0000 0.0000
Ir1 0.0000 0.5000 0.2185
Ru1 0.0000 0.0000 0.5000
```

Record 9
Material: BaIrRu2
Method: DFT, GGA-PBE
State: relaxed

Summary:
Energy in eV for the cell shown: -26.977
ΔE to the lowest computed polymorph in eV/atom: 0.3332

The structure in CIF format:
```
data_BaIrRu2
_space_group_name_H-M_alt 'P m m m'
_space_group_IT_number 47
_space_group_name_Hall '-P 2 2'
_cell_length_a 2.8701
_cell_length_b 3.7550
_cell_length_c 7.4381
_cell_angle_alpha 90.00
_cell_angle_beta 90.00
_cell_angle_gamma 90.00
loop_
_atom_site_label
_atom_site_fract_x
_atom_site_fract_y
_atom_site_fract_z
Ba1 0.0000 0.0000 0.0000
Ir1 0.0000 0.0000 0.5000
Ru1 0.5000 0.5000 0.3300
```

Record 10
Material: BaIrRu2
Method: DFT, GGA-PBE
State: relaxed

Summary:
Energy in eV for the cell shown: -25.171
ΔE to the lowest computed polymorph in eV/atom: 0.7848

The structure in CIF format:
```
data_BaIrRu2
_space_group_name_H-M_alt 'P 1 2/m 1'
_space_group_IT_number 10
_space_group_name_Hall '-P 2y'
_cell_length_a 5.0843
_cell_length_b 2.9188
_cell_length_c 5.3354
_cell_angle_alpha 90.00
_cell_angle_beta 110.44
_cell_angle_gamma 90.00
loop_
_atom_site_label
_atom_site_fract_x
_atom_site_fract_y
_atom_site_fract_z
Ba1 0.0000 0.0000 0.0000
Ir1 0.0000 0.5000 0.5000
Ru1 0.5000 0.0000 0.5000
Ru2 0.5000 0.5000 0.0000
```

Record 11
Material: BaIr2Ru
Method: DFT, GGA-PBE
State: relaxed

Summary:
Energy in eV for the cell shown: -24.881
ΔE to the lowest computed polymorph in eV/atom: 0.9031

The structure in CIF format:
```
data_BaIr2Ru
_space_group_name_H-M_alt 'P 4/m m m'
_space_group_IT_number 123
_space_group_name_Hall '-P 4 2'
_cell_length_a 4.1537
_cell_length_b 4.1537
_cell_length_c 4.4237
_cell_angle_alpha 90.00
_cell_angle_beta 90.00
_cell_angle_gamma 90.00
loop_
_atom_site_label
_atom_site_fract_x
_atom_site_fract_y
_atom_site_fract_z
Ba1 0.0000 0.0000 0.0000
Ir1 0.0000 0.5000 0.5000
Ru1 0.5000 0.5000 0.0000
```

Record 12
Material: BaIrS
Method: DFT, GGA-PBE
State: relaxed

Summary:
Energy in eV for the cell shown: -63.124
Formation energy (no corrections) in eV per atom: -0.290

The structure in CIF format:
```
data_BaIrS
_space_group_name_H-M_alt 'A m m 2'
_space_group_IT_number 38
_space_group_name_Hall 'A 2 -2'
_cell_length_a 10.7924
_cell_length_b 3.6536
_cell_length_c 8.4858
_cell_angle_alpha 90.00
_cell_angle_beta 90.00
_cell_angle_gamma 90.00
loop_
_atom_site_label
_atom_site_fract_x
_atom_site_fract_y
_atom_site_fract_z
Ba1 0.1831 0.0000 0.0000
Ir1 0.0000 0.0000 0.7068
Ir2 0.5000 0.0000 0.2000
S1 0.3682 0.0000 0.6964
```